(1)
Below is a relaxed K2RuAu crystal, with properties calculated at the PBE level.

Summary:
**V**: 32.05 Å³/atom
**Energy above the lowest structure with this stoichiometry**: 0.0 meV per atom
**Formation energy from the elements**: 530 meV per atom

Structure (CIF):
```
data_K2RuAu
_cell_length_a 3.1179
_cell_length_b 4.1664
_cell_length_c 9.8702
_cell_angle_alpha 90.00
_cell_angle_beta 90.20
_cell_angle_gamma 90.00
_symmetry_space_group_name_H-M 'P 1 m 1'
_symmetry_Int_Tables_number 6
_symmetry_space_group_name_Hall 'P -2y'
loop_
_atom_site_label
_atom_site_type_symbol
_atom_site_fract_x
_atom_site_fract_y
_atom_site_fract_z
_atom_site_occupancy
K1 K 0.0000 0.0000 0.0000 1
K2 K 0.4962 0.5000 0.5686 1
Ru1 Ru 0.4980 0.5000 0.2524 1
Au1 Au 0.9983 0.0000 0.3253 1
```

---

(2)
Below is a relaxed K2RuAu crystal, with properties calculated at the PBE level.

Summary:
**V**: 23.64 Å³/atom
**Energy above the lowest structure with this stoichiometry**: 193.6 meV per atom
**Formation energy from the elements**: 723 meV per atom

Structure (CIF):
```
data_K2RuAu
_cell_length_a 4.2030
_cell_length_b 4.2208
_cell_length_c 10.6625
_cell_angle_alpha 90.00
_cell_angle_beta 90.00
_cell_angle_gamma 90.00
_symmetry_space_group_name_H-M 'C m m m'
_symmetry_Int_Tables_number 65
_symmetry_space_group_name_Hall '-C 2 2'
loop_
_atom_site_label
_atom_site_type_symbol
_atom_site_fract_x
_atom_site_fract_y
_atom_site_fract_z
_atom_site_occupancy
K1 K 0.0000 0.0000 0.2462 1
Ru1 Ru 0.0000 0.5000 0.0000 1
Au1 Au 0.0000 0.5000 0.5000 1
```

---

(3)
Below is a relaxed KRuAu4 crystal, with properties calculated at the PBE level.

Summary:
**V**: 20.76 Å³/atom
**Formation energy from the elements**: 415 meV per atom

Structure (CIF):
```
data_KRuAu4
_cell_length_a 7.9277
_cell_length_b 7.9277
_cell_length_c 7.9277
_cell_angle_alpha 90.00
_cell_angle_beta 90.00
_cell_angle_gamma 90.00
_symmetry_space_group_name_H-M 'F -4 3 m'
_symmetry_Int_Tables_number 216
_symmetry_space_group_name_Hall 'F -4 2 3'
loop_
_atom_site_label
_atom_site_type_symbol
_atom_site_fract_x
_atom_site_fract_y
_atom_site_fract_z
_atom_site_occupancy
K1 K 0.0000 0.0000 0.0000 1
Ru1 Ru 0.2500 0.2500 0.7500 1
Au1 Au 0.1248 0.1248 0.3752 1
```

---

(4)
Below is a relaxed K2RuAu crystal, with properties calculated at the PBE level.

Summary:
**V**: 23.87 Å³/atom
**Energy above the lowest structure with this stoichiometry**: 276.3 meV per atom
**Formation energy from the elements**: 806 meV per atom

Structure (CIF):
```
data_K2RuAu
_cell_length_a 4.2408
_cell_length_b 4.2408
_cell_length_c 10.6180
_cell_angle_alpha 90.00
_cell_angle_beta 90.00
_cell_angle_gamma 90.00
_symmetry_space_group_name_H-M 'I 4/m m m'
_symmetry_Int_Tables_number 139
_symmetry_space_group_name_Hall '-I 4 2'
loop_
_atom_site_label
_atom_site_type_symbol
_atom_site_fract_x
_atom_site_fract_y
_atom_site_fract_z
_atom_site_occupancy
K1 K 0.0000 0.5000 0.2500 1
Ru1 Ru 0.0000 0.0000 0.0000 1
Au1 Au 0.0000 0.0000 0.5000 1
```

---

(5)
Below is a relaxed KRu2Au crystal, with properties calculated at the PBE level.

Summary:
**V**: 21.25 Å³/atom
**Energy above the lowest structure with this stoichiometry**: 459.1 meV per atom
**Formation energy from the elements**: 899 meV per atom

Structure (CIF):
```
data_KRu2Au
_cell_length_a 2.7708
_cell_length_b 4.9135
_cell_length_c 6.2911
_cell_angle_alpha 90.00
_cell_angle_beta 97.07
_cell_angle_gamma 90.00
_symmetry_space_group_name_H-M 'P 1 2/m 1'
_symmetry_Int_Tables_number 10
_symmetry_space_group_name_Hall '-P 2y'
loop_
_atom_site_label
_atom_site_type_symbol
_atom_site_fract_x
_atom_site_fract_y
_atom_site_fract_z
_atom_site_occupancy
K1 K 0.0000 0.0000 0.0000 1
Ru1 Ru 0.2761 0.5000 0.6667 1
Au1 Au 0.5000 0.0000 0.5000 1
```

---

(6)
Below is a relaxed K2RuAu crystal, with properties calculated at the PBE level.

Summary:
**V**: 23.91 Å³/atom
**Energy above the lowest structure with this stoichiometry**: 276.1 meV per atom
**Formation energy from the elements**: 806 meV per atom

Structure (CIF):
```
data_K2RuAu
_cell_length_a 4.2335
_cell_length_b 4.2513
_cell_length_c 5.3137
_cell_angle_alpha 90.00
_cell_angle_beta 90.00
_cell_angle_gamma 90.00
_symmetry_space_group_name_H-M 'P m m m'
_symmetry_Int_Tables_number 47
_symmetry_space_group_name_Hall '-P 2 2'
loop_
_atom_site_label
_atom_site_type_symbol
_atom_site_fract_x
_atom_site_fract_y
_atom_site_fract_z
_atom_site_occupancy
K1 K 0.0000 0.0000 0.0000 1
K2 K 0.5000 0.5000 0.0000 1
Ru1 Ru 0.0000 0.5000 0.5000 1
Au1 Au 0.5000 0.0000 0.5000 1
```

---

(7)
Below is a relaxed K2RuAu crystal, with properties calculated at the PBE level.

Summary:
**V**: 23.16 Å³/atom
**Energy above the lowest structure with this stoichiometry**: 286.9 meV per atom
**Formation energy from the elements**: 816 meV per atom

Structure (CIF):
```
data_K2RuAu
_cell_length_a 3.1143
_cell_length_b 3.1143
_cell_length_c 33.0812
_cell_angle_alpha 90.00
_cell_angle_beta 90.00
_cell_angle_gamma 120.00
_symmetry_space_group_name_H-M 'R -3 m'
_symmetry_Int_Tables_number 166
_symmetry_space_group_name_Hall '-R 3 2"'
loop_
_atom_site_label
_atom_site_type_symbol
_atom_site_fract_x
_atom_site_fract_y
_atom_site_fract_z
_atom_site_occupancy
K1 K 0.0000 0.0000 0.2492 1
Ru1 Ru 0.0000 0.0000 0.5000 1
Au1 Au 0.0000 0.0000 0.0000 1
```

---

(8)
Below is a relaxed KRuAu2S crystal, with properties calculated at the PBE level.

Summary:
**Formation energy (no corrections)**: 0.325 eV per atom
**V**: 22.46 Å³/atom

Structure (CIF):
```
data_KRuAu2S
_cell_length_a 5.0749
_cell_length_b 5.0749
_cell_length_c 4.3610
_cell_angle_alpha 90.00
_cell_angle_beta 90.00
_cell_angle_gamma 90.00
_symmetry_space_group_name_H-M 'P 4/m m m'
_symmetry_Int_Tables_number 123
_symmetry_space_group_name_Hall '-P 4 2'
loop_
_atom_site_label
_atom_site_type_symbol
_atom_site_fract_x
_atom_site_fract_y
_atom_site_fract_z
_atom_site_occupancy
K1 K 0.0000 0.0000 0.0000 1
Ru1 Ru 0.5000 0.5000 0.0000 1
Au1 Au 0.0000 0.5000 0.5000 1
S1 S 0.5000 0.5000 0.5000 1
```